1.
Density functional theory data (PBE) for a geometry-optimized KPtNO2 structure.

Calculated values
Space-group type: P4/mmm, No. 123
Raw formation energy (eV per formula unit): 0.1
Calculated density (g/cm3): 6.91

a b c (Å): 4.2452 4.2452 3.7354
angles (deg): 90.00 90.00 90.00
Fractional positions:
K: 0.0000 0.0000 0.0000
Pt: 0.5000 0.5000 0.5000
N: 0.5000 0.5000 0.0000
O: 0.0000 0.5000 0.5000
O: 0.5000 0.0000 0.5000


2.
Density functional theory data (PBE) for a geometry-optimized TcMoRh6 structure.

Calculated values
Calculated total energy (eV per atom): -7.50
Space-group type: R-3m, No. 166
Calculated density (g/cm3): 9.94

a b c (Å): 5.1379 5.1379 5.1379
angles (deg): 89.36 89.36 89.36
Fractional positions:
Tc: 0.0000 0.0000 0.0000
Mo: 0.5000 0.5000 0.5000
Rh: 0.1694 0.1694 0.5557
Rh: 0.1694 0.5557 0.1694
Rh: 0.4443 0.8306 0.8306
Rh: 0.5557 0.1695 0.1694
Rh: 0.8306 0.4443 0.8306
Rh: 0.8306 0.8305 0.4443